Record 1
The following is a GGA-PBE calculation of an optimized crystal structure of TlRuW2, from Alexandria.

Cell and atoms, written as extended XYZ:
```
8
Lattice="3.189 0.000 0.000 0.000 4.782 0.000 0.000 0.000 9.159" Properties=species:S:1:pos:R:3 pbc="T T T"
Tl 0.000 0.000 0.000
Tl 1.594 2.391 0.000
Ru 0.000 2.391 2.405
Ru 1.594 0.000 2.405
W 0.000 0.000 4.465
W 0.000 2.391 6.598
W 1.594 0.000 6.598
W 1.594 2.391 4.465
```

Calculated values
ΔE to the lowest computed polymorph   0.070 eV/atom
Volume   139.7 Å³ per cell



Record 2
The following is a GGA-PBE calculation of an optimized crystal structure of LiErTiIn, from Alexandria.

Cell and atoms, written as extended XYZ:
```
16
Lattice="7.026 0.000 0.000 0.000 7.026 0.000 0.000 0.000 7.026" Properties=species:S:1:pos:R:3 pbc="T T T"
Li 0.000 0.000 0.000
Li 0.000 3.513 3.513
Li 3.513 0.000 3.513
Li 3.513 3.513 0.000
Er 1.756 1.756 1.756
Er 1.756 5.269 5.269
Er 5.269 1.756 5.269
Er 5.269 5.269 1.756
Ti 1.756 1.756 5.269
Ti 1.756 5.269 1.756
Ti 5.269 1.756 1.756
Ti 5.269 5.269 5.269
In 0.000 0.000 3.513
In 0.000 3.513 0.000
In 3.513 0.000 0.000
In 3.513 3.513 3.513
```

Calculated values
Volume   346.8 Å³ per cell



Record 3
The following is a GGA-PBE calculation of an optimized crystal structure of NaFeCo2, from Alexandria.

Cell and atoms, written as extended XYZ:
```
16
Lattice="5.932 0.000 0.000 0.000 5.932 0.000 0.000 0.000 5.932" Properties=species:S:1:pos:R:3 pbc="T T T"
Na 0.000 0.000 0.000
Na 0.000 2.966 2.966
Na 2.966 0.000 2.966
Na 2.966 2.966 0.000
Fe 0.000 0.000 2.966
Fe 0.000 2.966 0.000
Fe 2.966 0.000 0.000
Fe 2.966 2.966 2.966
Co 1.483 1.483 1.483
Co 1.483 1.483 4.449
Co 1.483 4.449 1.483
Co 1.483 4.449 4.449
Co 4.449 1.483 1.483
Co 4.449 1.483 4.449
Co 4.449 4.449 1.483
Co 4.449 4.449 4.449
```

Calculated values
ΔE to the lowest computed polymorph   0.000 eV/atom
Volume   208.7 Å³ per cell



| no. | formation energy (eV/atom) | DOS at the Fermi energy (states/eV per cell) | M_tot (μB/atom) |
| --- | --- | --- | --- |
| 1 | 0.56 | 7.04 | 0.00 |
| 2 | -0.03 | 11.21 | 0.36 |
| 3 | 0.67 | 26.65 | 1.39 |